# Y2ScAs2

Y2ScAs2 at its PBEsol-relaxed geometry (SCAN, Alexandria).

Cell lengths 7.446, 7.446, 3.946 Å; angles 90.00, 90.00, 90.00 degrees
Space group P4/mbm (No. 127)
Unique sites:
Y (0.157, 0.343, 0.000) [4 per cell]
Sc (0.000, 0.000, 0.500) [2 per cell]
As (0.151, 0.651, 0.500) [4 per cell]

ΔH_f (0 K): -1.349 eV per atom
uncorrected energy: -1.721 Ry per atom

# YSc2As

YSc2As at its PBEsol-relaxed geometry (SCAN, Alexandria).

Cell lengths 3.588, 3.588, 6.931 Å; angles 90.00, 90.00, 90.00 degrees
Space group P4mm (No. 99)
Unique sites:
Y (0.000, 0.000, 0.000) [1 per cell]
Sc (0.000, 0.000, 0.432) [1 per cell]
Sc (0.500, 0.500, 0.692) [1 per cell]
As (0.500, 0.500, 0.261) [1 per cell]

ΔH_f (0 K): -0.646 eV per atom
uncorrected energy: -1.453 Ry per atom

# Y2ScAs

Y2ScAs at its PBEsol-relaxed geometry (SCAN, Alexandria).

Cell lengths 3.729, 4.844, 10.749 Å; angles 90.00, 90.00, 90.00 degrees
Space group Immm (No. 71)
Unique sites:
Y (0.000, 0.000, 0.204) [4 per cell]
Sc (0.000, 0.500, 0.000) [2 per cell]
As (0.000, 0.500, 0.500) [2 per cell]

ΔH_f (0 K): -0.535 eV per atom
uncorrected energy: -1.695 Ry per atom

Question: Among the records above, which one has the highest ΔH_f (0 K)?
Answer: Y2ScAs

Question: Among the records above, which one has the lowest uncorrected energy?
Answer: Y2ScAs2

Question: ΔH_f (0 K) of number 1 (Y2ScAs2)?
Answer: -1.349 eV per atom

Question: Which formula does entry 2 have?
Answer: YSc2As